1.
VASP calculation (PBE) on a geometry-optimized BaAsI2 structure.

Summary:
Space-group type: I-42d (122)
ΔE_f (raw) in eV per atom: -0.57
Calculated volume in Å³ per atom: 42.0
Relative energy among the computed polymorphs in meV/atom: 58.9

```
BaAsI2
1.0
-2.8151 2.8151 10.5949
2.8151 -2.8151 10.5949
2.8151 2.8151 -10.5949
Ba As I
2 2 4
Direct
0.0000 0.0000 0.0000
0.7500 0.2500 0.5000
0.2500 0.7500 0.5000
0.5000 0.5000 0.0000
0.1658 0.6250 0.0408
0.3750 0.4158 0.5408
0.5842 0.1250 0.9592
0.8750 0.8342 0.4592
```

***

2.
VASP calculation (PBE) on a geometry-optimized ZnCd2Te structure.

Summary:
Space-group type: C2/m (12)
ΔE_f (raw) in eV per atom: -0.02
Calculated volume in Å³ per atom: 25.1
Relative energy among the computed polymorphs in meV/atom: 4.1

```
ZnCd2Te
1.0
4.0042 -2.0688 0.0000
4.0042 2.0688 0.0000
-1.9098 0.0000 6.0557
Zn Cd Te
1 2 1
Direct
0.0000 0.0000 0.0000
0.2578 0.2578 0.7915
0.7422 0.7422 0.2085
0.5000 0.5000 0.5000
```

***

3.
VASP calculation (PBE) on a geometry-optimized Li2SbO2 structure.

Summary:
Space-group type: P4/mbm (127)
ΔE_f (raw) in eV per atom: -0.72
Calculated volume in Å³ per atom: 11.4

```
Li2SbO2
1.0
6.4008 0.0000 0.0000
0.0000 6.4008 0.0000
0.0000 0.0000 2.7945
Li Sb O
4 2 4
Direct
0.1181 0.3819 0.0000
0.3819 0.8819 0.0000
0.6181 0.1181 0.0000
0.8819 0.6181 0.0000
0.0000 0.0000 0.0000
0.5000 0.5000 0.0000
0.1792 0.6792 0.5000
0.3208 0.1792 0.5000
0.6792 0.8208 0.5000
0.8208 0.3208 0.5000
```

***

4.
VASP calculation (PBE) on a geometry-optimized CoTc2Rh structure.

Summary:
Space-group type: P2/m (10)
Calculated formation energy in meV/atom: 81
Calculated volume in Å³ per atom: 13.6
Relative energy among the computed polymorphs in meV/atom: 160.4

```
CoTc2Rh
1.0
4.5851 0.0000 0.0000
0.0000 2.6892 0.0000
-1.5014 0.0000 4.4049
Co Tc Rh
1 2 1
Direct
0.0000 0.0000 0.0000
0.0000 0.5000 0.5000
0.5000 0.0000 0.5000
0.5000 0.5000 0.0000
```

***

5.
VASP calculation (PBE) on a geometry-optimized Li12AlCd6 structure.

Summary:
Space-group type: R-3 (148)
Calculated formation energy in meV/atom: -171
Calculated volume in Å³ per atom: 19.2

```
Li12AlCd6
1.0
5.0917 2.9397 4.0661
-5.0917 2.9397 4.0661
0.0000 -5.8793 4.0661
Li Al Cd
12 1 6
Direct
0.0268 0.3016 0.9361
0.0639 0.9732 0.6984
0.1281 0.3488 0.4612
0.3016 0.9361 0.0268
0.3488 0.4612 0.1281
0.4612 0.1281 0.3488
0.5388 0.8719 0.6512
0.6512 0.5388 0.8719
0.6984 0.0639 0.9732
0.8719 0.6512 0.5388
0.9361 0.0268 0.3016
0.9732 0.6984 0.0639
0.5000 0.5000 0.5000
0.2251 0.7735 0.3821
0.2265 0.6179 0.7749
0.3821 0.2251 0.7735
0.6179 0.7749 0.2265
0.7735 0.3821 0.2251
0.7749 0.2265 0.6179
```

***

6.
VASP calculation (PBE) on a geometry-optimized NbFeSb2I structure.

Summary:
Space-group type: P4/mmm (123)
ΔE_f (raw) in eV per atom: 0.94
Calculated volume in Å³ per atom: 32.5
Relative energy among the computed polymorphs in meV/atom: 39.3

```
NbFeSb2I
1.0
5.3357 0.0000 0.0000
0.0000 5.3357 0.0000
0.0000 0.0000 5.7136
Nb Fe Sb I
1 1 2 1
Direct
0.0000 0.0000 0.0000
0.5000 0.5000 0.5000
0.0000 0.5000 0.0000
0.5000 0.0000 0.0000
0.0000 0.0000 0.5000
```

***

7.
VASP calculation (PBE) on a geometry-optimized ZrCrAg3 structure.

Summary:
Space-group type: Pm-3m (221)
Calculated formation energy in meV/atom: 994
Calculated volume in Å³ per atom: 22.8
Relative energy among the computed polymorphs in meV/atom: 0.0

```
ZrCrAg3
1.0
4.8506 0.0000 0.0000
0.0000 4.8506 0.0000
0.0000 0.0000 4.8506
Zr Cr Ag
1 1 3
Direct
0.0000 0.0000 0.0000
0.5000 0.5000 0.5000
0.0000 0.5000 0.5000
0.5000 0.0000 0.5000
0.5000 0.5000 0.0000
```

***

8.
VASP calculation (PBE) on a geometry-optimized Li2TlMo structure.

Summary:
Space-group type: R3m (160)
Calculated formation energy in meV/atom: 430
Calculated volume in Å³ per atom: 19.1
Relative energy among the computed polymorphs in meV/atom: 73.5

```
Li2TlMo
1.0
1.4995 0.8658 9.8104
-1.4995 0.8658 9.8104
0.0000 -1.7315 9.8104
Li Tl Mo
2 1 1
Direct
0.0000 0.0000 0.0000
0.2444 0.2444 0.2444
0.4977 0.4977 0.4977
0.7461 0.7461 0.7461
```

***

9.
VASP calculation (PBE) on a geometry-optimized Pm5Cu2Ag12 structure.

Summary:
Space-group type: C2/m (12)
Calculated formation energy in meV/atom: -114
Calculated volume in Å³ per atom: 21.9

```
Pm5Cu2Ag12
1.0
7.5629 -3.8281 0.0000
7.5629 3.8281 0.0000
-0.1777 0.0000 7.1758
Pm Cu Ag
5 2 12
Direct
0.0000 0.0000 0.0000
0.2434 0.2434 0.9439
0.3049 0.3049 0.4714
0.6951 0.6951 0.5286
0.7566 0.7566 0.0561
0.3214 0.6786 0.5000
0.6786 0.3214 0.5000
0.0474 0.6706 0.7411
0.0908 0.0908 0.5899
0.1950 0.5932 0.1642
0.3294 0.9526 0.2589
0.4068 0.8050 0.8358
0.4477 0.4477 0.8210
0.5523 0.5523 0.1790
0.5932 0.1950 0.1642
0.6706 0.0474 0.7411
0.8050 0.4068 0.8358
0.9092 0.9092 0.4101
0.9526 0.3294 0.2589
```

***

10.
VASP calculation (PBE) on a geometry-optimized Ho3Tm5Cd structure.

Summary:
Space-group type: C2/m (12)
Calculated formation energy in meV/atom: 430
Calculated volume in Å³ per atom: 34.7

```
Ho3Tm5Cd
1.0
5.9122 -5.5789 0.0000
5.9122 5.5789 0.0000
-3.1604 0.0000 9.4681
Ho Tm Cd
6 10 2
Direct
0.0000 0.0000 0.0000
0.0022 0.0022 0.6738
0.4951 0.4951 0.8159
0.5000 0.5000 0.5000
0.5049 0.5049 0.1841
0.9978 0.9978 0.3262
0.0728 0.5547 0.2088
0.2473 0.2473 0.5899
0.2626 0.2626 0.9465
0.2643 0.7357 0.0000
0.4453 0.9272 0.7912
0.5547 0.0728 0.2088
0.7357 0.2643 0.0000
0.7374 0.7374 0.0535
0.7527 0.7527 0.4101
0.9272 0.4453 0.7912
0.2350 0.2350 0.2666
0.7650 0.7650 0.7334
```

***

11.
VASP calculation (PBE) on a geometry-optimized Zn2Tc3 structure.

Summary:
Space-group type: P-3m1 (164)
Calculated formation energy in meV/atom: 716
Calculated volume in Å³ per atom: 16.8
Relative energy among the computed polymorphs in meV/atom: 656.9

```
Zn2Tc3
1.0
3.7324 0.0000 0.0000
-1.8662 3.2323 0.0000
0.0000 0.0000 6.9638
Zn Tc
2 3
Direct
0.3333 0.6667 0.3065
0.6667 0.3333 0.6935
0.0000 0.0000 0.5000
0.3333 0.6667 0.9194
0.6667 0.3333 0.0806
```

***

12.
VASP calculation (PBE) on a geometry-optimized BaSi2Ni2 structure.

Summary:
Space-group type: Cmcm (63)
ΔE_f (raw) in eV per atom: -0.55
Calculated volume in Å³ per atom: 20.1

```
BaSi2Ni2
1.0
3.2560 -2.6770 0.0000
3.2560 2.6770 0.0000
0.0000 0.0000 11.5123
Ba Si Ni
2 4 4
Direct
0.2036 0.7964 0.7500
0.7964 0.2036 0.2500
0.3113 0.6887 0.0666
0.3113 0.6887 0.4334
0.6887 0.3113 0.5666
0.6887 0.3113 0.9334
0.2044 0.2044 0.0000
0.2044 0.2044 0.5000
0.7956 0.7956 0.0000
0.7956 0.7956 0.5000
```